Entry from the Open Quantum Materials Database: PrGa2CuPd after structural relaxation (PBE).

Cell: 4.3396 4.3396 10.0422 Å, 90.00 90.00 90.00°
Space group P4/nmm (No. 129, origin choice 2)
Symmetry-distinct sites (fractional):
Pr1 0.2500 0.2500 0.2440
Ga1 0.2500 0.2500 0.8801
Ga2 0.2500 0.7500 0.5000
Cu1 0.2500 0.7500 0.0000
Pd1 0.2500 0.2500 0.6326

**E_tot**: -0.1677 hartree per atom

=====

Entry from the Open Quantum Materials Database: HfFe2Sn after structural relaxation (PBE).

Cell: 4.3926 4.3926 7.6099 Å, 90.00 90.00 120.00°
Space group P6_3/mmc (No. 194)
Symmetry-distinct sites (fractional):
Hf1 0.0000 0.0000 0.0000
Fe1 0.3333 0.6667 0.0980
Sn1 0.3333 0.6667 0.7500

**E_tot**: -0.2849 hartree per atom

=====

Entry from the Open Quantum Materials Database: FeCoNi2 after structural relaxation (PBE).

Cell: 5.5306 5.5306 5.5306 Å, 90.00 90.00 90.00°
Space group F-43m (No. 216)
Symmetry-distinct sites (fractional):
Fe1 0.0000 0.0000 0.0000
Co1 0.2500 0.2500 0.2500
Ni1 0.0000 0.0000 0.5000
Ni2 0.2500 0.2500 0.7500

**Energy of formation**: 53.4 meV/atom

=====

Entry from the Open Quantum Materials Database: TlCu15 after structural relaxation (PBE).

Cell: 4.3750 34.4711 4.3738 Å, 90.00 108.63 90.00°
Space group P2/c (No. 13)
Symmetry-distinct sites (fractional):
Tl1 0.0000 0.1965 0.2500
Cu1 0.0000 0.2601 0.7500
Cu2 0.0000 0.2987 0.2500
Cu3 0.0000 0.3335 0.7500
Cu4 0.0000 0.3715 0.2500
Cu5 0.0000 0.4069 0.7500
Cu6 0.0000 0.4442 0.2500
Cu7 0.0000 0.4814 0.7500
Cu8 0.5000 0.2229 0.7500
Cu9 0.5000 0.2599 0.2500
Cu10 0.5000 0.2951 0.7500
Cu11 0.5000 0.3334 0.2500
Cu12 0.5000 0.3692 0.7500
Cu13 0.5000 0.4068 0.2500
Cu14 0.5000 0.4438 0.7500
Cu15 0.5000 0.4814 0.2500

**E_tot**: -0.1305 hartree per atom

=====

Entry from the Open Quantum Materials Database: ZnCdPd after structural relaxation (PBE).

Cell: 6.1977 6.1977 6.1977 Å, 90.00 90.00 90.00°
Space group F-43m (No. 216)
Symmetry-distinct sites (fractional):
Zn1 0.0000 0.0000 0.0000
Cd1 0.0000 0.0000 0.5000
Pd1 0.2500 0.2500 0.7500

**Energy of formation**: -190.0 meV/atom

=====

Entry from the Open Quantum Materials Database: ZrNi2Hg after structural relaxation (PBE).

Cell: 6.3622 6.3622 6.3622 Å, 90.00 90.00 90.00°
Space group F-43m (No. 216)
Symmetry-distinct sites (fractional):
Zr1 0.0000 0.0000 0.0000
Ni1 0.0000 0.0000 0.5000
Ni2 0.2500 0.2500 0.7500
Hg1 0.2500 0.2500 0.2500

**Energy of formation**: -6.3 meV/atom

=====

Entry from the Open Quantum Materials Database: OsF4 after structural relaxation (PBE).

Cell: 3.9778 3.9778 7.3096 Å, 90.00 90.00 90.00°
Space group I4/mmm (No. 139)
Symmetry-distinct sites (fractional):
Os1 0.0000 0.0000 0.0000
F1 0.0000 0.0000 0.2583
F2 0.0000 0.5000 0.0000

**E_tot**: -0.1882 hartree per atom

=====

Entry from the Open Quantum Materials Database: InAgPO after structural relaxation (PBE).

Cell: 4.2201 7.0915 5.1551 Å, 90.00 90.00 90.00°
Space group Pmc2_1 (No. 26)
Symmetry-distinct sites (fractional):
In1 0.0000 0.1674 0.0000
Ag1 0.5000 0.2942 0.4510
P1 0.5000 0.3597 0.9353
O1 0.0000 0.1198 0.4172

**E_tot**: -0.1585 hartree per atom

=====

> What is the formula in the sixth record?

ZrNi2Hg